# TcSb2RuC

TcSb2RuC at its PBEsol-relaxed geometry (SCAN, the Alexandria database).

Cell and atoms, written as extended XYZ:
```
5
Lattice="5.003 0.000 0.000 0.000 5.003 0.000 0.000 0.000 4.533" Properties=species:S:1:pos:R:3 pbc="T T T"
Tc 0.000 0.000 0.000
Sb 0.000 2.501 0.000
Sb 2.501 0.000 0.000
Ru 0.000 0.000 2.266
C 2.501 2.501 2.266
```

Symmetry ... No. 123
Raw formation energy ... 2.19 eV per atom

=====

# BeOsRu2

BeOsRu2 at its PBEsol-relaxed geometry (SCAN, the Alexandria database).

Cell and atoms, written as extended XYZ:
```
4
Lattice="2.779 0.000 0.000 0.000 4.260 0.000 0.000 0.000 4.286" Properties=species:S:1:pos:R:3 pbc="T T T"
Be 0.000 0.000 0.000
Os 1.389 2.130 0.000
Ru 0.000 2.130 2.143
Ru 1.389 0.000 2.143
```

Symmetry ... No. 47
Formation energy from the elements ... 247 meV per atom

=====

# Zr5Ag

Zr5Ag at its PBEsol-relaxed geometry (SCAN, the Alexandria database).

Cell and atoms, written as extended XYZ:
```
6
Lattice="5.167 0.000 0.000 0.000 1.604 7.551 0.000 -1.604 7.551" Properties=species:S:1:pos:R:3 pbc="T T T"
Zr 0.000 0.000 0.000
Zr 0.000 0.000 4.929
Zr 2.584 0.000 2.470
Zr 2.584 0.000 7.495
Zr 2.584 0.000 12.549
Ag 0.000 0.000 10.015
```

Symmetry ... No. 38
Formation energy from the elements ... 50 meV per atom
Energy above the lowest structure with this stoichiometry ... 78 meV per atom

=====

# ScMnCl2

ScMnCl2 at its PBEsol-relaxed geometry (SCAN, the Alexandria database).

Cell and atoms, written as extended XYZ:
```
4
Lattice="3.294 0.000 0.000 0.000 4.099 0.000 -0.319 0.000 5.420" Properties=species:S:1:pos:R:3 pbc="T T T"
Sc 0.000 0.000 0.000
Mn 1.487 0.000 2.710
Cl 0.809 2.049 1.362
Cl 2.166 2.049 4.058
```

Symmetry ... No. 10
Raw formation energy ... -0.83 eV per atom
Energy above the lowest structure with this stoichiometry ... 209 meV per atom

=====

Computed size of the total moment (μB/cell) in order:
1.47 0.96 0.00 4.00
Computed theoretical density (g/cm³) in order:
6.65 13.14 7.48 3.88